Record 1
! Dy6Ga5Ag | Alexandria via LeMat-Bulk | PBE | relaxed; values from VASP
&SYSTEM
  ibrav = 0, nat = 12, ntyp = 3
/
ATOMIC_SPECIES
Dy 162.50 Dy.upf
Ga 69.72 Ga.upf
Ag 107.87 Ag.upf
ATOMIC_POSITIONS crystal
Dy 0.000 0.000 0.247
Dy 0.000 0.000 0.753
Dy 0.332 0.668 0.249
Dy 0.332 0.668 0.751
Dy 0.668 0.332 0.249
Dy 0.668 0.332 0.751
Ga 0.161 0.839 0.500
Ga 0.166 0.834 0.000
Ga 0.500 0.500 0.000
Ga 0.834 0.166 0.000
Ga 0.839 0.161 0.500
Ag 0.500 0.500 0.500
CELL_PARAMETERS angstrom
2.539 -7.623 0.000
2.539 7.623 0.000
0.000 0.000 7.155
! Uncorrected energy in eV per atom: -4.339
! D(E_F) in states/eV per cell: 8.44
! Energy of formation from the pure elements in eV/f.u.: -6.5



Record 2
! Y2BiSe2 | Alexandria via LeMat-Bulk | PBE | relaxed; values from VASP
&SYSTEM
  ibrav = 0, nat = 5, ntyp = 3
/
ATOMIC_SPECIES
Y 88.91 Y.upf
Bi 208.98 Bi.upf
Se 78.96 Se.upf
ATOMIC_POSITIONS crystal
Y 0.126 0.126 0.000
Y 0.874 0.874 0.000
Bi 0.500 0.500 0.000
Se 0.250 0.750 0.500
Se 0.750 0.250 0.500
CELL_PARAMETERS angstrom
-2.191 2.191 7.355
2.191 -2.191 7.355
2.191 2.191 -7.355
! E above lowest polymorph in meV/atom: 234
! Uncorrected energy in eV per atom: -5.817
! D(E_F) in states/eV per cell: 3.10
! Formation energy (no corrections) in eV per formula unit: -5.3



Record 3
! SmPuN | Alexandria via LeMat-Bulk | PBE | relaxed; values from VASP
&SYSTEM
  ibrav = 0, nat = 3, ntyp = 3
/
ATOMIC_SPECIES
Sm 150.36 Sm.upf
Pu 244.00 Pu.upf
N 14.01 N.upf
ATOMIC_POSITIONS crystal
Sm 0.000 0.000 0.000
Pu 0.500 0.500 0.500
N 0.250 0.250 0.250
CELL_PARAMETERS angstrom
0.000 3.052 3.052
3.052 0.000 3.052
3.052 3.052 0.000
! E above lowest polymorph in meV/atom: 586
! Uncorrected energy in eV per atom: -9.312
! D(E_F) in states/eV per cell: 7.10
! Formation energy (no corrections) in eV per formula unit: -0.6



Record 4
! La2CdSiPd6 | Alexandria via LeMat-Bulk | PBE | relaxed; values from VASP
&SYSTEM
  ibrav = 0, nat = 10, ntyp = 4
/
ATOMIC_SPECIES
La 138.91 La.upf
Cd 112.41 Cd.upf
Si 28.09 Si.upf
Pd 106.42 Pd.upf
ATOMIC_POSITIONS crystal
La 0.247 0.234 0.274
La 0.753 0.766 0.726
Cd 0.500 0.500 0.500
Si 0.000 0.000 0.000
Pd 0.240 0.786 0.237
Pd 0.249 0.595 0.908
Pd 0.260 0.216 0.762
Pd 0.740 0.784 0.238
Pd 0.751 0.405 0.092
Pd 0.760 0.214 0.763
CELL_PARAMETERS angstrom
5.590 0.000 0.000
2.793 5.767 0.000
2.784 0.168 6.494
! Uncorrected energy in eV per atom: -5.409
! D(E_F) in states/eV per cell: 5.39
! Formation energy (no corrections) in eV per formula unit: -6.7



Record 5
! Li2PuGaSb2 | Alexandria via LeMat-Bulk | PBE | relaxed; values from VASP
&SYSTEM
  ibrav = 0, nat = 12, ntyp = 4
/
ATOMIC_SPECIES
Li 6.94 Li.upf
Pu 244.00 Pu.upf
Ga 69.72 Ga.upf
Sb 121.76 Sb.upf
ATOMIC_POSITIONS crystal
Li 0.000 0.010 0.000
Li 0.000 0.990 0.500
Li 0.500 0.147 0.722
Li 0.500 0.853 0.222
Pu 0.500 0.493 0.487
Pu 0.500 0.507 0.987
Ga 0.000 0.335 0.215
Ga 0.000 0.665 0.715
Sb 0.000 0.310 0.748
Sb 0.000 0.690 0.248
Sb 0.500 0.158 0.262
Sb 0.500 0.842 0.762
CELL_PARAMETERS angstrom
4.536 0.000 0.000
0.000 8.983 0.000
0.000 0.000 6.459
! Uncorrected energy in eV per atom: -5.376
! D(E_F) in states/eV per cell: 17.57
! Formation energy (no corrections) in eV per formula unit: -2.8



Record 6
! Zr2SnSe4 | Alexandria via LeMat-Bulk | PBE | relaxed; values from VASP
&SYSTEM
  ibrav = 0, nat = 14, ntyp = 3
/
ATOMIC_SPECIES
Zr 91.22 Zr.upf
Sn 118.71 Sn.upf
Se 78.96 Se.upf
ATOMIC_POSITIONS crystal
Zr 0.139 0.861 0.558
Zr 0.139 0.861 0.942
Zr 0.861 0.139 0.058
Zr 0.861 0.139 0.442
Sn 0.410 0.590 0.750
Sn 0.590 0.410 0.250
Se 0.071 0.929 0.750
Se 0.221 0.779 0.118
Se 0.221 0.779 0.382
Se 0.500 0.500 0.000
Se 0.500 0.500 0.500
Se 0.779 0.221 0.618
Se 0.779 0.221 0.882
Se 0.929 0.071 0.250
CELL_PARAMETERS angstrom
1.924 -6.330 0.000
1.924 6.330 0.000
0.000 0.000 13.978
! Uncorrected energy in eV per atom: -6.025
! D(E_F) in states/eV per cell: 5.26
! Formation energy (no corrections) in eV per formula unit: -7.1



Record 7
! Ni2PdS2 | Alexandria via LeMat-Bulk | PBE | relaxed; values from VASP
&SYSTEM
  ibrav = 0, nat = 5, ntyp = 3
/
ATOMIC_SPECIES
Ni 58.69 Ni.upf
Pd 106.42 Pd.upf
S 32.06 S.upf
ATOMIC_POSITIONS crystal
Ni 0.104 0.104 0.000
Ni 0.896 0.896 0.000
Pd 0.500 0.500 0.000
S 0.354 0.354 0.000
S 0.646 0.646 0.000
CELL_PARAMETERS angstrom
-1.549 1.549 8.137
1.549 -1.549 8.137
1.549 1.549 -8.137
! Uncorrected energy in eV per atom: -5.227
! D(E_F) in states/eV per cell: 1.72
! Formation energy (no corrections) in eV per formula unit: -1.1



Record 8
! CePu4Si2 | Alexandria via LeMat-Bulk | PBE | relaxed; values from VASP
&SYSTEM
  ibrav = 0, nat = 7, ntyp = 3
/
ATOMIC_SPECIES
Ce 140.12 Ce.upf
Pu 244.00 Pu.upf
Si 28.09 Si.upf
ATOMIC_POSITIONS crystal
Ce 0.000 0.000 0.000
Pu 0.000 0.000 0.500
Pu 0.000 0.500 0.270
Pu 0.500 0.000 0.730
Pu 0.500 0.500 0.500
Si 0.000 0.500 0.744
Si 0.500 0.000 0.256
CELL_PARAMETERS angstrom
4.236 0.000 0.000
0.000 4.236 0.000
0.000 0.000 8.927
! Uncorrected energy in eV per atom: -10.746
! D(E_F) in states/eV per cell: 19.94
! Formation energy (no corrections) in eV per formula unit: -1.1